one.
Entry from Alexandria via LeMat-Bulk: crystalline YTmAlAu at its relaxed geometry (PBE).

Summary:
**ρ**: 8.5 g/cm³

POSCAR file:
```
YTmAlAu
1.0
5.100 0.000 0.000
2.550 4.417 0.000
2.550 1.472 4.164
Y Tm Au Al
1 1 1 1
direct
0.750 0.750 0.750 Y
0.250 0.250 0.250 Tm
0.000 0.000 0.000 Au
0.500 0.500 0.500 Al
```



two.
Entry from Alexandria via LeMat-Bulk: crystalline YTmAlAu at its relaxed geometry (PBE).

Summary:
**ρ**: 8.6 g/cm³

POSCAR file:
```
YTmAlAu
1.0
-0.679 0.736 -3.398
0.910 -3.304 -0.898
-7.000 -2.181 0.927
Y Tm Al Au
1 1 1 1
direct
0.000 0.000 0.360 Y
0.000 0.000 0.847 Tm
0.500 0.500 0.100 Al
0.500 0.500 0.621 Au
```



Q: What are the energies relative to the best structure? A: one 48; two 0, in meV per atom.



one.
Entry from Alexandria via LeMat-Bulk: crystalline UAl2Au2 at its relaxed geometry (PBE).

Summary:
**ρ**: 11.5 g/cm³

POSCAR file:
```
UAl2Au2
1.0
4.320 0.000 0.000
0.000 4.320 0.000
0.000 0.000 10.648
U Al Au
2 4 4
direct
0.000 0.500 0.248 U
0.500 0.000 0.752 U
0.000 0.000 0.500 Al
0.500 0.500 0.500 Al
0.000 0.500 0.866 Al
0.500 0.000 0.134 Al
0.000 0.000 0.000 Au
0.500 0.500 0.000 Au
0.000 0.500 0.633 Au
0.500 0.000 0.367 Au
```



two.
Entry from Alexandria via LeMat-Bulk: crystalline UAl2Au2 at its relaxed geometry (PBE).

Summary:
**ρ**: 12.3 g/cm³

POSCAR file:
```
UAl2Au2
1.0
-1.562 -2.065 1.179
0.111 -4.069 -6.983
6.755 -3.788 2.314
U Al Au
2 4 4
direct
0.000 0.000 0.000 U
0.000 0.500 0.500 U
0.000 0.368 0.868 Al
0.000 0.868 0.632 Al
0.000 0.632 0.132 Al
0.000 0.132 0.368 Al
0.500 0.160 0.660 Au
0.500 0.660 0.840 Au
0.500 0.840 0.340 Au
0.500 0.340 0.160 Au
```



Q: What are the energies relative to the best structure? A: one 0; two 131, in meV per atom.



one.
Entry from Alexandria via LeMat-Bulk: crystalline AlV3Au at its relaxed geometry (PBE).

Summary:
**ρ**: 7.1 g/cm³

POSCAR file:
```
AlV3Au
1.0
-2.809 2.781 -2.041
-3.240 -3.030 0.330
-1.184 1.695 3.939
Au Al V
1 1 3
direct
0.500 0.500 0.500 Au
0.000 0.000 0.000 Al
0.000 0.500 0.000 V
0.000 0.000 0.500 V
0.500 0.000 0.000 V
```



two.
Entry from Alexandria via LeMat-Bulk: crystalline AlV3Au at its relaxed geometry (PBE).

Summary:
**ρ**: 5.8 g/cm³

POSCAR file:
```
AlV3Au
1.0
-4.043 1.804 -1.733
1.227 -1.441 -4.362
-2.180 -4.156 0.760
Au Al V
1 1 3
direct
0.000 0.000 0.000 Au
0.500 0.500 0.500 Al
0.000 0.500 0.000 V
0.000 0.000 0.500 V
0.500 0.000 0.000 V
```



Q: What are the energies relative to the best structure? A: one 0; two 260, in meV per atom.



one.
Entry from Alexandria via LeMat-Bulk: crystalline ZrAlV2Au at its relaxed geometry (PBE).

Summary:
**ρ**: 6.2 g/cm³

POSCAR file:
```
ZrAlV2Au
1.0
-3.247 2.176 -2.474
1.706 -1.861 -3.876
-3.172 -4.089 0.567
Au Al Zr V
1 1 1 2
direct
0.000 0.000 0.500 Au
0.500 0.500 0.500 Al
0.000 0.000 0.000 Zr
0.000 0.500 0.000 V
0.500 0.000 0.000 V
```



two.
Entry from Alexandria via LeMat-Bulk: crystalline ZrAlV2Au at its relaxed geometry (PBE).

Summary:
**ρ**: 5.8 g/cm³

POSCAR file:
```
ZrAlV2Au
1.0
4.814 0.000 0.000
0.000 5.171 0.000
0.000 0.000 4.814
Au Al Zr V
1 1 1 2
direct
0.000 0.000 0.000 Au
0.500 0.500 0.500 Al
0.000 0.500 0.000 Zr
0.000 0.000 0.500 V
0.500 0.000 0.000 V
```



Q: What are the energies relative to the best structure? A: one 348; two 0, in meV per atom.



one.
Entry from Alexandria via LeMat-Bulk: crystalline AlWAu at its relaxed geometry (PBE).

Summary:
**ρ**: 11.7 g/cm³

POSCAR file:
```
AlWAu
1.0
-2.729 1.428 -3.061
-0.448 -2.209 -3.712
-3.678 -2.162 -0.810
Au Al W
1 1 1
direct
0.750 0.750 0.750 Au
0.500 0.500 0.500 Al
0.000 0.000 0.000 W
```



two.
Entry from Alexandria via LeMat-Bulk: crystalline AlWAu at its relaxed geometry (PBE).

Summary:
**ρ**: 13.9 g/cm³

POSCAR file:
```
AlWAu
1.0
2.868 0.000 0.000
-1.434 2.484 0.000
0.000 0.000 6.859
Au Al W
1 1 1
direct
0.333 0.667 0.324 Au
0.000 0.000 0.998 Al
0.667 0.333 0.678 W
```



three.
Entry from Alexandria via LeMat-Bulk: crystalline AlWAu at its relaxed geometry (PBE).

Summary:
**ρ**: 13.9 g/cm³

POSCAR file:
```
AlWAu
1.0
4.435 0.000 0.000
-2.217 3.840 0.000
0.000 0.000 2.864
Au Al W
1 1 1
direct
0.333 0.667 0.167 Au
0.000 0.000 0.166 Al
0.667 0.333 0.667 W
```



Q: What are the energies relative to the best structure? A: one 630; two 0; three 159, in meV per atom.



one.
Entry from Alexandria via LeMat-Bulk: crystalline AlW3Au at its relaxed geometry (PBE).

Summary:
**ρ**: 13.9 g/cm³

POSCAR file:
```
AlW3Au
1.0
4.523 0.000 0.000
0.000 4.523 0.000
0.000 0.000 4.523
Au Al W
1 1 3
direct
0.500 0.500 0.500 Au
0.000 0.000 0.000 Al
0.000 0.500 0.000 W
0.000 0.000 0.500 W
0.500 0.000 0.000 W
```



two.
Entry from Alexandria via LeMat-Bulk: crystalline AlW3Au at its relaxed geometry (PBE).

Summary:
**ρ**: 11.4 g/cm³

POSCAR file:
```
AlW3Au
1.0
4.834 0.000 0.000
0.000 4.834 0.000
0.000 0.000 4.834
Au Al W
1 1 3
direct
0.000 0.000 0.000 Au
0.500 0.500 0.500 Al
0.000 0.500 0.000 W
0.000 0.000 0.500 W
0.500 0.000 0.000 W
```



Q: What are the energies relative to the best structure? A: one 0; two 777, in meV per atom.



one.
Entry from Alexandria via LeMat-Bulk: crystalline YAlAu3 at its relaxed geometry (PBE).

Summary:
**ρ**: 7.2 g/cm³

POSCAR file:
```
YAlAu3
1.0
5.455 0.000 0.000
0.000 5.455 0.000
0.000 0.000 5.455
Y Au Al
1 3 1
direct
0.000 0.000 0.000 Y
0.000 0.500 0.000 Au
0.000 0.000 0.500 Au
0.500 0.000 0.000 Au
0.500 0.500 0.500 Al
```



two.
Entry from Alexandria via LeMat-Bulk: crystalline YAlAu3 at its relaxed geometry (PBE).

Summary:
**ρ**: 10.4 g/cm³

POSCAR file:
```
YAlAu3
1.0
-3.988 0.176 2.714
-2.572 -1.813 -3.661
0.886 -4.470 1.591
Y Au Al
1 3 1
direct
0.500 0.500 0.500 Y
0.000 0.500 0.000 Au
0.000 0.000 0.500 Au
0.500 0.000 0.000 Au
0.000 0.000 0.000 Al
```



Q: What are the energies relative to the best structure? A: one 808; two 0, in meV per atom.



one.
Entry from Alexandria via LeMat-Bulk: crystalline YAlAu3 at its relaxed geometry (PBE).

Summary:
**ρ**: 11.4 g/cm³

POSCAR file:
```
YAlAu3
1.0
5.366 0.000 0.000
0.000 6.646 0.000
0.000 -3.323 5.755
Y Al Au
2 2 6
direct
0.750 0.667 0.333 Y
0.250 0.333 0.667 Y
0.000 0.000 0.000 Al
0.500 0.000 0.000 Al
0.750 0.616 0.808 Au
0.250 0.808 0.616 Au
0.250 0.384 0.192 Au
0.750 0.192 0.384 Au
0.250 0.808 0.192 Au
0.750 0.192 0.808 Au
```



two.
Entry from Alexandria via LeMat-Bulk: crystalline YAlAu3 at its relaxed geometry (PBE).

Summary:
**ρ**: 11.8 g/cm³

POSCAR file:
```
YAlAu3
1.0
-1.674 1.254 -3.895
4.634 -4.063 -3.301
-3.049 -5.855 -0.575
Y Al Au
2 2 6
direct
0.381 0.528 0.209 Y
0.881 0.147 0.598 Y
0.381 0.774 0.625 Al
0.881 0.900 0.181 Al
0.881 0.602 0.497 Au
0.381 0.073 0.309 Au
0.881 0.709 0.884 Au
0.881 0.288 0.056 Au
0.381 0.386 0.750 Au
0.381 0.966 0.922 Au
```



Q: What are the energies relative to the best structure? A: one 65; two 0, in meV per atom.